Here is Bi2MoPb after structural relaxation from OQMD. Energies are from PBE.

Lattice parameters (Å, degrees): 5.306 5.306 5.306 60.00 60.00 60.00
Last column: magnetic moment on the atom in μB.
Fractional coordinates of all 4 atoms:
Mo  0.750  0.750  0.750  1.98
Bi  0.500  0.500  0.500  -0.07
Bi  0.250  0.250  0.250  -0.06
Pb  0.000  0.000  0.000  -0.03

Properties
- Electronic total energy: -19.41 eV for the cell shown
- Total magnetization: 2.2 μB per cell